Computed, not measured: TlNi2As after structural relaxation at the PBE level of DFT.

POSCAR file:
```
TlNi2As
1.0
-1.791 3.733 -1.680
-1.898 0.867 3.951
4.374 6.239 3.259
Ni As Tl
4 2 2
Direct
0.249 0.625 0.250
0.375 0.499 0.750
0.501 0.125 0.250
0.875 0.751 0.750
0.250 0.750 0.500
0.500 0.500 0.000
0.000 0.000 0.000
0.750 0.250 0.500
```



TlNiAs2 | the Alexandria database | PBE | relaxed; energy relative to the lowest polymorph listed for this composition = 0.00 eV per formula unit
1.0
3.758 0.000 0.000
1.879 3.255 0.000
1.879 1.085 7.129
Ni Tl As
1 1 2
Direct
0.664 0.664 0.007
0.505 0.505 0.485
0.285 0.285 0.146
0.046 0.046 0.861



TlNiAs2 | the Alexandria database | PBE | relaxed; energy relative to the lowest polymorph listed for this composition = 0.23 eV per formula unit
1.0
3.884 0.000 0.000
0.000 4.262 -0.018
0.000 1.548 5.269
As Tl Ni
2 1 1
Direct
0.000 0.040 0.105
0.000 0.460 0.395
0.500 0.750 0.750
0.500 0.250 0.250



TlNiAs2 | the Alexandria database | PBE | relaxed; energy relative to the lowest polymorph listed for this composition = 2.25 eV per formula unit
1.0
-3.079 1.471 -1.618
-1.792 -3.675 0.069
-1.883 1.003 4.495
Ni As Tl
1 2 1
Direct
0.500 0.000 0.500
0.500 0.500 0.000
0.000 0.000 0.000
0.000 0.500 0.500



TlNiAs2 | the Alexandria database | PBE | relaxed; energy relative to the lowest polymorph listed for this composition = 0.68 eV per formula unit
1.0
-3.872 -2.647 5.689
-5.678 -4.492 1.397
6.341 1.621 -3.395
As Ni Tl
2 1 1
Direct
0.005 0.005 0.000
0.647 0.147 0.500
0.534 0.534 0.000
0.314 0.814 0.500



TlNiAs2 | the Alexandria database | PBE | relaxed; energy relative to the lowest polymorph listed for this composition = 0.10 eV per formula unit
1.0
-4.402 -4.919 -2.547
-4.511 -5.308 1.239
-6.569 -2.589 -0.456
As Tl Ni
2 1 1
Direct
0.966 0.966 0.966
0.534 0.534 0.534
0.750 0.750 0.750
0.250 0.250 0.250



Computed, not measured: TlNi2As after structural relaxation at the PBE level of DFT.

POSCAR file:
```
TlNi2As
1.0
-0.810 5.830 0.374
-4.212 4.094 -0.530
-2.903 4.039 3.169
Ni Tl As
2 1 1
Direct
0.546 0.546 0.546
0.954 0.954 0.954
0.750 0.750 0.750
0.250 0.250 0.250
```



Computed, not measured: TlNi2As after structural relaxation at the PBE level of DFT.

POSCAR file:
```
TlNi2As
1.0
5.244 -0.010 0.000
2.585 4.563 0.000
-3.914 -2.277 2.645
As Ni Tl
1 2 1
Direct
0.750 0.250 0.500
0.000 0.000 0.000
0.250 0.750 0.500
0.500 0.500 0.000
```



no.,formation enthalpy at 0 K (eV per atom),magnetic moment (μB/f.u.)
1,0.1654,0.00
2,-0.1296,0.00
3,-0.0722,0.00
4,0.4330,0.00
5,0.0402,0.00
6,-0.1048,0.00
7,0.0182,0.00
8,0.2932,0.00